one | LiCeEr: relaxed, PBE.

Properties
As for the calculated volume: 27.47 A^3/atom. The density of states at the Fermi level is 1.737 states/eV per atom. The space group is P3m1, No. 156.

Unit cell a=3.3668 b=3.3668 c=8.3965 alpha=90.00 beta=90.00 gamma=120.00
Atoms (fractional coordinates):
Li: 0.0000 0.0000 0.0000
Ce: 0.3333 0.6667 0.6634
Er: 0.6667 0.3333 0.3276

***

two | LiCeEr: relaxed, PBE.

Properties
As for the calculated volume: 27.25 A^3/atom. The density of states at the Fermi level is 2.013 states/eV per atom. The space group is I4mm, No. 107.

Unit cell a=7.4717 b=7.4717 c=7.4717 alpha=153.70 beta=153.70 gamma=37.53
Atoms (fractional coordinates):
Li: 0.0000 0.0000 0.0000
Ce: 0.3346 0.3346 0.0000
Er: 0.6593 0.6593 0.0000

***

Result of the stability comparison: two is the least stable of them.